Entry 1:
A plane-wave DFT calculation with GGA-PBE was carried out for crystalline Y3GaTe6 at its relaxed geometry.

Summary:
The calculation puts the total magnetic moment at 0.00 Bohr magnetons per cell. As for the uncorrected formation energy: -1111.4 meV per atom. The raw total energy is -104.77 eV per cell.

a b c (Å): 7.2553 9.6329 9.6329
angles (deg): 102.07 90.00 90.00
Last column: nearest neighbours and their distance in Å.
Sites, in units of the cell vectors:
Ga: 0.5211 0.7956 0.2044  4 Te 2.65-2.71
Te: 0.6801 0.2978 0.3740  4 Y 3.05-3.15
Y: 0.8772 0.5939 0.4061  7 Te 3.08-3.43
Te: 0.6574 0.2212 0.7788  1 Ga 2.65
Te: 0.6716 0.9608 0.0392  1 Ga 2.71
Te: 0.7105 0.5608 0.0995  1 Ga 2.66
Y: 0.4884 0.2778 0.0844  7 Te 3.05-3.29
Ga: 0.0211 0.2044 0.7956  4 Te 2.65-2.71
Y: 0.3772 0.4061 0.5939  7 Te 3.08-3.43
Te: 0.6801 0.6260 0.7022  4 Y 3.05-3.15
Te: 0.1801 0.7022 0.6260  4 Y 3.05-3.15
Te: 0.1574 0.7788 0.2212  1 Ga 2.65
Y: 0.9884 0.7222 0.9156  7 Te 3.05-3.29
Te: 0.7105 0.9005 0.4392  1 Ga 2.66
Te: 0.2105 0.4392 0.9005  1 Ga 2.66
Y: 0.9884 0.0844 0.2778  7 Te 3.05-3.29
Y: 0.4884 0.9156 0.7222  7 Te 3.05-3.29
Te: 0.1801 0.3740 0.2978  4 Y 3.05-3.15
Te: 0.2105 0.0995 0.5608  1 Ga 2.66
Te: 0.1716 0.0392 0.9608  1 Ga 2.71

---

Entry 2:
A plane-wave DFT calculation with GGA-PBE was carried out for crystalline Y3Ga5Te12 at its relaxed geometry.

Summary:
The calculation puts the total magnetic moment at 0.00 Bohr magnetons per cell. As for the uncorrected formation energy: -632.5 meV per atom. The raw total energy is -339.51 eV per cell. As for the density of states at the Fermi level: 15.880 states/eV/cell.

a b c (Å): 14.9051 14.9051 14.9051
angles (deg): 109.47 109.47 109.47
Last column: nearest neighbours and their distance in Å.
Sites, in units of the cell vectors:
Te: 0.4144 0.2869 0.3246  2 Ga 2.65-2.84
Ga: 0.5000 0.0000 0.5000  6 Te 2.84
Y: 0.1250 0.2500 0.8750  8 Te 3.25-3.30
Ga: 0.6250 0.8750 0.2500  4 Te 2.65
Ga: 0.2500 0.8750 0.1250  4 Te 2.65
Ga: 0.7500 0.6250 0.3750  4 Te 2.65
Te: 0.2869 0.4144 0.8246  2 Ga 2.65-2.84
Te: 0.4624 0.6754 0.0898  2 Ga 2.65-2.84
Te: 0.1754 0.0856 0.7131  2 Ga 2.65-2.84
Y: 0.1250 0.8750 0.7500  8 Te 3.25-3.30
Ga: 0.0000 0.0000 0.0000  6 Te 2.84
Te: 0.3726 0.4102 0.0856  2 Ga 2.65-2.84
Te: 0.6754 0.4624 0.5898  2 Ga 2.65-2.84
Ga: 0.1250 0.7500 0.3750  4 Te 2.65
Y: 0.6250 0.2500 0.3750  8 Te 3.25-3.30
Te: 0.4624 0.7869 0.8726  2 Ga 2.65-2.84
Te: 0.4102 0.3726 0.5856  2 Ga 2.65-2.84
Te: 0.8726 0.5856 0.9102  2 Ga 2.65-2.84
Te: 0.0856 0.1754 0.2131  2 Ga 2.65-2.84
Te: 0.4144 0.1274 0.5898  2 Ga 2.65-2.84
Te: 0.0856 0.9102 0.3726  2 Ga 2.65-2.84
Ga: 0.1250 0.3750 0.2500  4 Te 2.65
Te: 0.7131 0.1274 0.0377  2 Ga 2.65-2.84
Te: 0.5856 0.7131 0.6754  2 Ga 2.65-2.84
Ga: 0.8750 0.2500 0.6250  4 Te 2.65
Te: 0.9102 0.0856 0.8726  2 Ga 2.65-2.84
Te: 0.3246 0.5376 0.4102  2 Ga 2.65-2.84
Te: 0.5376 0.2131 0.1274  2 Ga 2.65-2.84
Te: 0.5856 0.8726 0.4102  2 Ga 2.65-2.84
Te: 0.0898 0.1754 0.4624  2 Ga 2.65-2.84
Y: 0.2500 0.6250 0.8750  8 Te 3.25-3.30
Te: 0.1274 0.7131 0.5376  2 Ga 2.65-2.84
Ga: 0.5000 0.5000 0.0000  6 Te 2.84
Te: 0.2869 0.8726 0.9624  2 Ga 2.65-2.84
Te: 0.9144 0.8246 0.7869  2 Ga 2.65-2.84
Ga: 0.0000 0.0000 0.5000  6 Te 2.84
Te: 0.9102 0.8246 0.5376  2 Ga 2.65-2.84
Ga: 0.0000 0.5000 0.5000  6 Te 2.84
Te: 0.9144 0.0898 0.6274  2 Ga 2.65-2.84
Ga: 0.2500 0.3750 0.6250  4 Te 2.65
Te: 0.5376 0.3246 0.9102  2 Ga 2.65-2.84
Te: 0.8246 0.9102 0.0377  2 Ga 2.65-2.84
Te: 0.1754 0.0898 0.9624  2 Ga 2.65-2.84
Y: 0.3750 0.7500 0.6250  8 Te 3.25-3.30
Y: 0.7500 0.3750 0.1250  8 Te 3.25-3.30
Te: 0.9624 0.3726 0.2869  2 Ga 2.65-2.84
Te: 0.5898 0.6274 0.4144  2 Ga 2.65-2.84
Ga: 0.5000 0.5000 0.5000  6 Te 2.84
Ga: 0.7500 0.1250 0.8750  4 Te 2.65
Te: 0.9624 0.5898 0.1754  2 Ga 2.65-2.84
Ga: 0.3750 0.2500 0.1250  4 Te 2.65
Te: 0.0898 0.9144 0.1274  2 Ga 2.65-2.84
Ga: 0.6250 0.7500 0.8750  4 Te 2.65
Te: 0.5898 0.9624 0.6754  2 Ga 2.65-2.84
Te: 0.7869 0.3246 0.9144  2 Ga 2.65-2.84
Te: 0.2131 0.6754 0.0856  2 Ga 2.65-2.84
Y: 0.8750 0.7500 0.1250  8 Te 3.25-3.30
Te: 0.6274 0.0377 0.2131  2 Ga 2.65-2.84
Te: 0.3246 0.7869 0.4144  2 Ga 2.65-2.84
Ga: 0.5000 0.0000 0.0000  6 Te 2.84
Y: 0.2500 0.1250 0.3750  8 Te 3.25-3.30
Y: 0.3750 0.6250 0.2500  8 Te 3.25-3.30
Te: 0.3726 0.9624 0.7869  2 Ga 2.65-2.84
Y: 0.8750 0.1250 0.2500  8 Te 3.25-3.30
Y: 0.6250 0.3750 0.7500  8 Te 3.25-3.30
Te: 0.8246 0.9144 0.2869  2 Ga 2.65-2.84
Te: 0.4102 0.0377 0.3246  2 Ga 2.65-2.84
Y: 0.7500 0.8750 0.6250  8 Te 3.25-3.30
Te: 0.7869 0.4624 0.3726  2 Ga 2.65-2.84
Te: 0.6274 0.5898 0.9144  2 Ga 2.65-2.84
Ga: 0.8750 0.6250 0.7500  4 Te 2.65
Te: 0.8726 0.2869 0.4624  2 Ga 2.65-2.84
Te: 0.0377 0.4102 0.8246  2 Ga 2.65-2.84
Te: 0.2131 0.5376 0.6274  2 Ga 2.65-2.84
Te: 0.7131 0.5856 0.1754  2 Ga 2.65-2.84
Ga: 0.0000 0.5000 0.0000  6 Te 2.84
Ga: 0.3750 0.1250 0.7500  4 Te 2.65
Te: 0.1274 0.4144 0.0898  2 Ga 2.65-2.84
Te: 0.6754 0.2131 0.5856  2 Ga 2.65-2.84
Te: 0.0377 0.6274 0.7131  2 Ga 2.65-2.84

---

Entry 3:
A plane-wave DFT calculation with GGA-PBE was carried out for crystalline YGa2Te2 at its relaxed geometry.

Summary:
The calculation puts the total magnetic moment at 0.00 Bohr magnetons per cell. As for the uncorrected formation energy: -583.4 meV per atom. The raw total energy is -21.72 eV per cell. As for the density of states at the Fermi level: 2.037 states/eV/cell.

a b c (Å): 3.8620 3.8620 9.4834
angles (deg): 78.25 78.25 90.00
Last column: nearest neighbours and their distance in Å.
Sites, in units of the cell vectors:
Te: 0.4038 0.4038 0.1924  4 Y 3.24, 4 Ga 3.40, 1 Te 3.49
Ga: 0.2500 0.7500 0.5000  4 Ga 2.73
Ga: 0.7500 0.2500 0.5000  4 Ga 2.73
Y: 0.0000 0.0000 0.0000  8 Te 3.24
Te: 0.5962 0.5962 0.8076  4 Y 3.24, 4 Ga 3.40, 1 Te 3.49

---

Entry 4:
A plane-wave DFT calculation with GGA-PBE was carried out for crystalline Y5GaTe5 at its relaxed geometry.

Summary:
The calculation puts the total magnetic moment at 0.00 Bohr magnetons per cell. As for the uncorrected formation energy: -1274.4 meV per atom. The raw total energy is -65.07 eV per cell. As for the density of states at the Fermi level: 2.280 states/eV/cell.

a b c (Å): 6.1364 7.5430 8.6286
angles (deg): 107.02 90.00 114.00
Last column: nearest neighbours and their distance in Å.
Sites, in units of the cell vectors:
Y: 0.5000 0.0000 0.0000  2 Ga 3.07, 4 Te 3.09-3.11
Te: 0.3266 0.6533 0.6648  5 Y 3.08-3.15
Y: 0.8421 0.6842 0.6789  1 Ga 2.92, 5 Te 3.04-3.13
Te: 0.3350 0.6700 0.1726  5 Y 3.07-3.13
Y: 0.1572 0.3145 0.8388  1 Ga 2.93, 5 Te 3.03-3.15
Te: 0.6734 0.3467 0.3352  5 Y 3.08-3.15
Te: 0.0000 0.0000 0.5000  4 Y 3.03-3.04
Te: 0.6650 0.3300 0.8274  5 Y 3.07-3.13
Y: 0.8428 0.6855 0.1612  1 Ga 2.93, 5 Te 3.03-3.15
Y: 0.1579 0.3158 0.3211  1 Ga 2.92, 5 Te 3.04-3.13
Ga: 0.0000 0.0000 0.0000  6 Y 2.92-3.07

---

Entry 5:
A plane-wave DFT calculation with GGA-PBE was carried out for crystalline YGaTe3 at its relaxed geometry.

Summary:
The calculation puts the total magnetic moment at 0.00 Bohr magnetons per cell. As for the uncorrected formation energy: -195.6 meV per atom. The raw total energy is -19.89 eV per cell. As for the density of states at the Fermi level: 2.779 states/eV/cell. The relative energy among the computed polymorphs is 0.080 eV per atom.

a b c (Å): 5.3556 5.3556 5.3556
angles (deg): 90.00 90.00 90.00
Last column: nearest neighbours and their distance in Å.
Sites, in units of the cell vectors:
Ga: 0.0000 0.0000 0.0000  6 Te 2.68
Te: 0.5000 0.0000 0.0000  2 Ga 2.68
Te: 0.0000 0.5000 0.0000  2 Ga 2.68
Y: 0.5000 0.5000 0.5000  12 Te 3.79
Te: 0.0000 0.0000 0.5000  2 Ga 2.68

---

Entry 6:
A plane-wave DFT calculation with GGA-PBE was carried out for crystalline Y3GaTe at its relaxed geometry.

Summary:
The calculation puts the total magnetic moment at 0.00 Bohr magnetons per cell. As for the uncorrected formation energy: -307.3 meV per atom. The raw total energy is -27.10 eV per cell. As for the density of states at the Fermi level: 5.529 states/eV/cell. The relative energy among the computed polymorphs is 0.468 eV per atom.

a b c (Å): 5.4172 5.4172 5.4172
angles (deg): 90.00 90.00 90.00
Last column: nearest neighbours and their distance in Å.
Sites, in units of the cell vectors:
Te: 0.5000 0.5000 0.5000  12 Y 3.83
Y: 0.0000 0.0000 0.5000  2 Ga 2.71
Ga: 0.0000 0.0000 0.0000  6 Y 2.71
Y: 0.5000 0.0000 0.0000  2 Ga 2.71
Y: 0.0000 0.5000 0.0000  2 Ga 2.71

---

Entry 7:
A plane-wave DFT calculation with GGA-PBE was carried out for crystalline Y3GaTe at its relaxed geometry.

Summary:
The calculation puts the total magnetic moment at 0.00 Bohr magnetons per cell. As for the uncorrected formation energy: -775.5 meV per atom. The raw total energy is -117.75 eV per cell. As for the density of states at the Fermi level: 23.095 states/eV/cell. The relative energy among the computed polymorphs is 0.000 eV per atom.

a b c (Å): 4.1043 11.7213 11.6973
angles (deg): 90.00 90.00 90.00
Last column: nearest neighbours and their distance in Å.
Sites, in units of the cell vectors:
Y: 0.2500 0.5566 0.8814  3 Ga 2.94-3.08, 2 Te 3.16
Y: 0.2500 0.2187 0.2292  2 Ga 3.03-3.08, 2 Te 3.26
Y: 0.2500 0.9434 0.3814  3 Ga 2.94-3.08, 2 Te 3.16
Te: 0.2500 0.5067 0.3145  7 Y 3.14-3.26
Y: 0.7500 0.0566 0.6186  3 Ga 2.94-3.08, 2 Te 3.16
Ga: 0.2500 0.3176 0.9901  7 Y 2.93-3.08
Ga: 0.7500 0.8176 0.5099  7 Y 2.93-3.08
Ga: 0.7500 0.6824 0.0099  7 Y 2.93-3.08
Y: 0.2500 0.2813 0.7292  2 Ga 3.03-3.08, 2 Te 3.26
Y: 0.7500 0.3569 0.4543  2 Ga 2.93, 3 Te 3.14-3.16
Y: 0.7500 0.7813 0.7708  2 Ga 3.03-3.08, 2 Te 3.26
Y: 0.2500 0.8569 0.0457  2 Ga 2.93, 3 Te 3.14-3.16
Te: 0.7500 0.4933 0.6855  7 Y 3.14-3.26
Y: 0.2500 0.6431 0.5457  2 Ga 2.93, 3 Te 3.14-3.16
Y: 0.7500 0.4434 0.1186  3 Ga 2.94-3.08, 2 Te 3.16
Y: 0.7500 0.7187 0.2708  2 Ga 3.03-3.08, 2 Te 3.26
Ga: 0.2500 0.1824 0.4901  7 Y 2.93-3.08
Y: 0.7500 0.1431 0.9543  2 Ga 2.93, 3 Te 3.14-3.16
Te: 0.2500 0.9933 0.8145  7 Y 3.14-3.26
Te: 0.7500 0.0067 0.1855  7 Y 3.14-3.26

---

Entry 8:
A plane-wave DFT calculation with GGA-PBE was carried out for crystalline Y3GaTe2 at its relaxed geometry.

Summary:
The calculation puts the total magnetic moment at 0.00 Bohr magnetons per cell. As for the uncorrected formation energy: -1132.8 meV per atom. The raw total energy is -35.50 eV per cell. As for the density of states at the Fermi level: 1.423 states/eV/cell. The relative energy among the computed polymorphs is 0.000 eV per atom.

a b c (Å): 4.2135 6.0934 7.6080
angles (deg): 113.61 106.08 90.00
Last column: nearest neighbours and their distance in Å.
Sites, in units of the cell vectors:
Te: 0.6730 0.1730 0.3460  6 Y 3.06-3.14
Ga: 0.0000 0.5000 0.0000  6 Y 2.92-3.05
Y: 0.3481 0.3481 0.6962  2 Ga 2.92, 4 Te 3.06-3.14
Y: 0.6519 0.6519 0.3038  2 Ga 2.92, 4 Te 3.06-3.14
Te: 0.3270 0.8270 0.6540  6 Y 3.06-3.14
Y: 0.0000 0.0000 0.0000  2 Ga 3.05, 4 Te 3.12

---

Entry 9:
A plane-wave DFT calculation with GGA-PBE was carried out for crystalline Y5GaTe4 at its relaxed geometry.

Summary:
The calculation puts the total magnetic moment at 0.00 Bohr magnetons per cell. As for the uncorrected formation energy: -1238.7 meV per atom. The raw total energy is -60.30 eV per cell. As for the density of states at the Fermi level: 3.632 states/eV/cell.

a b c (Å): 6.1233 7.5316 7.5316
angles (deg): 80.49 66.01 66.01
Last column: nearest neighbours and their distance in Å.
Sites, in units of the cell vectors:
Y: 0.9048 0.3737 0.8186  1 Ga 2.86, 4 Te 3.07-3.14
Y: 0.7234 0.1814 0.3737  1 Ga 2.86, 4 Te 3.07-3.14
Y: 0.5016 0.0000 0.0000  2 Ga 3.06, 4 Te 3.10
Te: 0.5932 0.6027 0.2129  6 Y 3.07-3.21
Te: 0.8060 0.7871 0.6027  6 Y 3.07-3.21
Ga: 0.0014 0.0000 0.0000  6 Y 2.86-3.06
Y: 0.0970 0.6263 0.1814  1 Ga 2.86, 4 Te 3.07-3.14
Y: 0.2784 0.8186 0.6263  1 Ga 2.86, 4 Te 3.07-3.14
Te: 0.4087 0.3973 0.7871  6 Y 3.07-3.21
Te: 0.1958 0.2129 0.3973  6 Y 3.07-3.21

---

Entry 10:
A plane-wave DFT calculation with GGA-PBE was carried out for crystalline Y2GaTe at its relaxed geometry.

Summary:
The calculation puts the total magnetic moment at 0.75 Bohr magnetons per cell. As for the uncorrected formation energy: -646.4 meV per atom. The raw total energy is -43.36 eV per cell. As for the density of states at the Fermi level: 5.748 states/eV/cell. The relative energy among the computed polymorphs is 0.394 eV per atom.

a b c (Å): 8.0241 8.0241 6.6278
angles (deg): 52.75 52.75 90.00
Last column: nearest neighbours and their distance in Å.
Sites, in units of the cell vectors:
Ga: 0.5000 0.5000 0.0000  4 Y 2.90
Y: 0.3750 0.3863 0.7500  2 Ga 2.90, 2 Te 3.03
Ga: 0.2500 0.7500 0.5000  4 Y 2.90
Te: 0.7500 0.2500 0.5000  4 Y 3.03
Y: 0.6137 0.1250 0.2500  2 Ga 2.90, 2 Te 3.03
Y: 0.1363 0.6250 0.2500  2 Ga 2.90, 2 Te 3.03
Y: 0.8750 0.8637 0.7500  2 Ga 2.90, 2 Te 3.03
Te: 0.0000 0.0000 0.0000  4 Y 3.03

---

Q: Number 8 is which compound?
A: Y3GaTe2

---

Q: Which of these has the lowest raw total energy?
A: Y3Ga5Te12

---

Q: Number 10 is which compound?
A: Y2GaTe